1.
Below is a geometry-optimized TaBiAs2Cl structure, with properties calculated at the PBE level.

For the total magnetization, the calculation gives 0.00 μB/f.u. Its total energy is -5.27 eV/atom. Its density of states at the Fermi level is 3.5 states/eV/f.u. As for the volume: 27.4 Å³/atom.

It has space group P4/mmm (No. 123), with a = 4.923 Å, b = 4.923 Å, c = 5.649 Å, α = 90.00°, β = 90.00° and γ = 90.00°. Symmetry generates all atoms from Ta at (0.000, 0.000, 0.000), Bi at (0.000, 0.000, 0.500), As at (0.000, 0.500, 0.000) and Cl at (0.500, 0.500, 0.500).

2.
Below is a geometry-optimized BaTaB3 structure, with properties calculated at the PBE level.

For the total magnetization, the calculation gives 0.00 μB/f.u. Its total energy is -6.14 eV/atom. Its density of states at the Fermi level is 1.1 states/eV/f.u. As for the volume: 18.2 Å³/atom.

It has space group Pm-3m (No. 221), with a = 4.500 Å, b = 4.500 Å, c = 4.500 Å, α = 90.00°, β = 90.00° and γ = 90.00°. Symmetry generates all atoms from Ba at (0.000, 0.000, 0.000), Ta at (0.500, 0.500, 0.500) and B at (0.000, 0.500, 0.500).

3.
Below is a geometry-optimized Pm2Nd3Dy2 structure, with properties calculated at the PBE level.

For the total magnetization, the calculation gives 0.00 μB/f.u. Its total energy is -4.60 eV/atom. Its density of states at the Fermi level is 10.7 states/eV/f.u. As for the volume: 34.2 Å³/atom.

It has space group C2/m (No. 12), with a = 17.780 Å, b = 3.551 Å, c = 8.676 Å, α = 90.00°, β = 118.94° and γ = 90.00°. Symmetry generates all atoms from Pm at (0.065, 0.000, 0.411), Nd at (0.000, 0.500, 0.000), Nd at (0.213, 0.500, 0.297) and Dy at (0.147, 0.500, 0.831).

4.
Below is a geometry-optimized Mg2Sc5Ir2Ru structure, with properties calculated at the PBE level.

For the total magnetization, the calculation gives 0.00 μB/f.u. Its total energy is -6.70 eV/atom. Its density of states at the Fermi level is 5.7 states/eV/f.u. As for the volume: 20.4 Å³/atom.

It has space group P4/mbm (No. 127), with a = 10.926 Å, b = 10.926 Å, c = 3.412 Å, α = 90.00°, β = 90.00° and γ = 90.00°. Symmetry generates all atoms from Mg at (0.178, 0.322, 0.000), Sc at (0.000, 0.500, 0.500), Sc at (0.064, 0.806, 0.500), Ir at (0.131, 0.631, 0.000) and Ru at (0.000, 0.000, 0.000).

5.
Below is a geometry-optimized Mn2CoTcNi structure, with properties calculated at the PBE level.

For the total magnetization, the calculation gives 0.70 μB/f.u. Its total energy is -6.80 eV/atom. Its density of states at the Fermi level is 11.5 states/eV/f.u. As for the volume: 14.0 Å³/atom.

It has space group P4/mmm (No. 123), with a = 4.092 Å, b = 4.092 Å, c = 4.168 Å, α = 90.00°, β = 90.00° and γ = 90.00°. Symmetry generates all atoms from Mn at (0.000, 0.500, 0.000), Co at (0.000, 0.000, 0.500), Tc at (0.500, 0.500, 0.500) and Ni at (0.000, 0.000, 0.000).

6.
Below is a geometry-optimized PIrRuAu2 structure, with properties calculated at the PBE level.

For the total magnetization, the calculation gives 2.43 μB/f.u. Its total energy is -5.12 eV/atom. Its density of states at the Fermi level is 6.9 states/eV/f.u. As for the volume: 18.9 Å³/atom.

It has space group P4/mmm (No. 123), with a = 4.639 Å, b = 4.639 Å, c = 4.390 Å, α = 90.00°, β = 90.00° and γ = 90.00°. Symmetry generates all atoms from P at (0.000, 0.000, 0.000), Ir at (0.000, 0.000, 0.500), Ru at (0.500, 0.500, 0.500) and Au at (0.000, 0.500, 0.000).

7.
Below is a geometry-optimized LiY2Te3 structure, with properties calculated at the PBE level.

For the total magnetization, the calculation gives 0.00 μB/f.u. Its total energy is -5.36 eV/atom. Its density of states at the Fermi level is 2.2 states/eV/f.u. As for the volume: 28.8 Å³/atom.

It has space group Immm (No. 71), with a = 4.305 Å, b = 6.158 Å, c = 13.018 Å, α = 90.00°, β = 90.00° and γ = 90.00°. Symmetry generates all atoms from Li at (0.000, 0.000, 0.000), Y at (0.000, 0.000, 0.332), Te at (0.000, 0.500, 0.000) and Te at (0.000, 0.500, 0.341).

8.
Below is a geometry-optimized BaBeBr2 structure, with properties calculated at the PBE level.

For the total magnetization, the calculation gives 0.00 μB/f.u. Its total energy is -3.12 eV/atom. As for the volume: 31.0 Å³/atom.

It has space group Pm (No. 6), with a = 5.040 Å, b = 4.355 Å, c = 6.027 Å, α = 90.00°, β = 110.26° and γ = 90.00°. Symmetry generates all atoms from Ba at (0.000, 0.000, 0.000), Be at (0.668, 0.500, 0.601), Br at (0.341, 0.000, 0.599) and Br at (0.579, 0.500, 0.206).

Question: What is the volume in the seventh record?
Answer: 28.8 Å³/atom

Question: Which of these has the highest volume?
Answer: Pm2Nd3Dy2

Question: Which of these has the highest volume?
Answer: Pm2Nd3Dy2

Question: What is the volume in the fourth record?
Answer: 20.4 Å³/atom